(1)
# Cd2HgCl

A relaxed structure of Cd2HgCl (PBE-GGA, the Alexandria database).

Computed properties:
ΔE to the lowest computed polymorph = 1.066 kcal/mol of atoms
E_form (uncorrected) = -0.238 eV/atom
Energy = -1.23 eV/atom
Crystal system = tetragonal

CIF file:
```
data_Cd2HgCl
_cell_length_a 3.492
_cell_length_b 3.493
_cell_length_c 8.253
_cell_angle_alpha 90.00
_cell_angle_beta 90.00
_cell_angle_gamma 90.00
_space_group_name_H-M_alt 'P 1'
_space_group_IT_number 1
loop_
_space_group_symop_operation_xyz
'x,y,z'
loop_
_atom_site_label
_atom_site_type_symbol
_atom_site_fract_x
_atom_site_fract_y
_atom_site_fract_z
Cd1 Cd 0.500 0.500 0.255
Cd2 Cd 0.000 0.000 0.020
Cl1 Cl 0.000 0.000 0.448
Hg1 Hg 0.500 0.500 0.777
```

(2)
# CdHgCl3

A relaxed structure of CdHgCl3 (PBE-GGA, the Alexandria database).

Computed properties:
ΔE to the lowest computed polymorph = 3.085 kcal/mol of atoms
E_form (uncorrected) = -0.536 eV/atom
Energy = -1.89 eV/atom
Crystal system = cubic

CIF file:
```
data_CdHgCl3
_cell_length_a 5.173
_cell_length_b 5.173
_cell_length_c 5.173
_cell_angle_alpha 90.00
_cell_angle_beta 90.00
_cell_angle_gamma 90.00
_space_group_name_H-M_alt 'P 1'
_space_group_IT_number 1
loop_
_space_group_symop_operation_xyz
'x,y,z'
loop_
_atom_site_label
_atom_site_type_symbol
_atom_site_fract_x
_atom_site_fract_y
_atom_site_fract_z
Cl1 Cl 0.000 0.000 0.500
Cl2 Cl 0.500 0.000 0.000
Cl3 Cl 0.000 0.500 0.000
Hg1 Hg 0.500 0.500 0.500
Cd1 Cd 0.000 0.000 0.000
```

(3)
# CdHgCl2

A relaxed structure of CdHgCl2 (PBE-GGA, the Alexandria database).

Computed properties:
ΔE to the lowest computed polymorph = 0.004 kcal/mol of atoms
E_form (uncorrected) = -0.793 eV/atom
Energy = -2.02 eV/atom
Crystal system = monoclinic

CIF file:
```
data_CdHgCl2
_cell_length_a 3.880
_cell_length_b 3.880
_cell_length_c 10.130
_cell_angle_alpha 79.86
_cell_angle_beta 79.86
_cell_angle_gamma 59.93
_space_group_name_H-M_alt 'P 1'
_space_group_IT_number 1
loop_
_space_group_symop_operation_xyz
'x,y,z'
loop_
_atom_site_label
_atom_site_type_symbol
_atom_site_fract_x
_atom_site_fract_y
_atom_site_fract_z
Hg1 Hg 0.750 0.750 0.750
Cd1 Cd 0.250 0.250 0.250
Cl1 Cl 0.539 0.539 0.397
Cl2 Cl 0.961 0.961 0.103
```

(4)
# Cd2HgCl

A relaxed structure of Cd2HgCl (PBE-GGA, the Alexandria database).

Computed properties:
ΔE to the lowest computed polymorph = 1.943 kcal/mol of atoms
E_form (uncorrected) = -0.200 eV/atom
Energy = -1.19 eV/atom
Crystal system = tetragonal

CIF file:
```
data_Cd2HgCl
_cell_length_a 3.436
_cell_length_b 3.435
_cell_length_c 8.051
_cell_angle_alpha 90.00
_cell_angle_beta 90.00
_cell_angle_gamma 90.00
_space_group_name_H-M_alt 'P 1'
_space_group_IT_number 1
loop_
_space_group_symop_operation_xyz
'x,y,z'
loop_
_atom_site_label
_atom_site_type_symbol
_atom_site_fract_x
_atom_site_fract_y
_atom_site_fract_z
Cd1 Cd 0.000 0.000 0.503
Cd2 Cd 0.000 0.000 0.997
Cl1 Cl 0.500 0.500 0.250
Hg1 Hg 0.500 0.500 0.750
```

(5)
# CdHgCl3

A relaxed structure of CdHgCl3 (PBE-GGA, the Alexandria database).

Computed properties:
ΔE to the lowest computed polymorph = 0.000 kcal/mol of atoms
E_form (uncorrected) = -0.669 eV/atom
Energy = -2.02 eV/atom
Crystal system = monoclinic

CIF file:
```
data_CdHgCl3
_cell_length_a 3.721
_cell_length_b 9.343
_cell_length_c 8.936
_cell_angle_alpha 96.58
_cell_angle_beta 90.00
_cell_angle_gamma 101.49
_space_group_name_H-M_alt 'P 1'
_space_group_IT_number 1
loop_
_space_group_symop_operation_xyz
'x,y,z'
loop_
_atom_site_label
_atom_site_type_symbol
_atom_site_fract_x
_atom_site_fract_y
_atom_site_fract_z
Hg1 Hg 0.159 0.319 0.324
Hg2 Hg 0.841 0.681 0.676
Cd1 Cd 0.402 0.805 0.192
Cd2 Cd 0.598 0.195 0.808
Cl1 Cl 0.001 0.003 0.721
Cl2 Cl 0.846 0.692 0.010
Cl3 Cl 0.154 0.308 0.990
Cl4 Cl 0.317 0.635 0.402
Cl5 Cl 0.683 0.365 0.598
Cl6 Cl 0.999 0.997 0.279
```

(6)
# Cd2HgCl

A relaxed structure of Cd2HgCl (PBE-GGA, the Alexandria database).

Computed properties:
ΔE to the lowest computed polymorph = 0.516 kcal/mol of atoms
E_form (uncorrected) = -0.262 eV/atom
Energy = -1.26 eV/atom
Crystal system = trigonal

CIF file:
```
data_Cd2HgCl
_cell_length_a 3.769
_cell_length_b 3.769
_cell_length_c 8.494
_cell_angle_alpha 77.18
_cell_angle_beta 77.18
_cell_angle_gamma 60.00
_space_group_name_H-M_alt 'P 1'
_space_group_IT_number 1
loop_
_space_group_symop_operation_xyz
'x,y,z'
loop_
_atom_site_label
_atom_site_type_symbol
_atom_site_fract_x
_atom_site_fract_y
_atom_site_fract_z
Cd1 Cd 0.084 0.084 0.749
Cd2 Cd 0.252 0.252 0.244
Cl1 Cl 0.496 0.496 0.512
Hg1 Hg 0.668 0.668 0.995
```

(7)
# CdHgCl

A relaxed structure of CdHgCl (PBE-GGA, the Alexandria database).

Computed properties:
ΔE to the lowest computed polymorph = 0.810 kcal/mol of atoms
E_form (uncorrected) = -0.380 eV/atom
Energy = -1.40 eV/atom
Crystal system = trigonal

CIF file:
```
data_CdHgCl
_cell_length_a 4.072
_cell_length_b 4.072
_cell_length_c 5.815
_cell_angle_alpha 90.00
_cell_angle_beta 90.00
_cell_angle_gamma 120.00
_space_group_name_H-M_alt 'P 1'
_space_group_IT_number 1
loop_
_space_group_symop_operation_xyz
'x,y,z'
loop_
_atom_site_label
_atom_site_type_symbol
_atom_site_fract_x
_atom_site_fract_y
_atom_site_fract_z
Cl1 Cl 0.667 0.333 0.278
Hg1 Hg 0.333 0.667 0.711
Cd1 Cd 0.000 0.000 0.010
```

(8)
# CdHgCl2

A relaxed structure of CdHgCl2 (PBE-GGA, the Alexandria database).

Computed properties:
ΔE to the lowest computed polymorph = 11.315 kcal/mol of atoms
E_form (uncorrected) = -0.303 eV/atom
Energy = -1.53 eV/atom
Crystal system = orthorhombic

CIF file:
```
data_CdHgCl2
_cell_length_a 4.094
_cell_length_b 6.653
_cell_length_c 4.025
_cell_angle_alpha 90.00
_cell_angle_beta 90.00
_cell_angle_gamma 90.00
_space_group_name_H-M_alt 'P 1'
_space_group_IT_number 1
loop_
_space_group_symop_operation_xyz
'x,y,z'
loop_
_atom_site_label
_atom_site_type_symbol
_atom_site_fract_x
_atom_site_fract_y
_atom_site_fract_z
Cl1 Cl 0.500 0.500 0.000
Cl2 Cl 0.000 0.000 0.000
Cd1 Cd 0.000 0.500 0.500
Hg1 Hg 0.500 0.000 0.500
```

(9)
# Cd2HgCl2

A relaxed structure of Cd2HgCl2 (PBE-GGA, the Alexandria database).

Computed properties:
ΔE to the lowest computed polymorph = 7.041 kcal/mol of atoms
E_form (uncorrected) = -0.247 eV/atom
Energy = -1.41 eV/atom
Crystal system = tetragonal

CIF file:
```
data_Cd2HgCl2
_cell_length_a 4.303
_cell_length_b 4.303
_cell_length_c 9.351
_cell_angle_alpha 76.70
_cell_angle_beta 76.70
_cell_angle_gamma 90.00
_space_group_name_H-M_alt 'P 1'
_space_group_IT_number 1
loop_
_space_group_symop_operation_xyz
'x,y,z'
loop_
_atom_site_label
_atom_site_type_symbol
_atom_site_fract_x
_atom_site_fract_y
_atom_site_fract_z
Cl1 Cl 0.638 0.638 0.723
Cl2 Cl 0.362 0.362 0.277
Cd1 Cd 0.750 0.250 0.500
Cd2 Cd 0.250 0.750 0.500
Hg1 Hg 0.000 0.000 0.000
```

(10)
# CdHgCl2

A relaxed structure of CdHgCl2 (PBE-GGA, the Alexandria database).

Computed properties:
ΔE to the lowest computed polymorph = 7.070 kcal/mol of atoms
E_form (uncorrected) = -0.487 eV/atom
Energy = -1.71 eV/atom
Crystal system = orthorhombic

CIF file:
```
data_CdHgCl2
_cell_length_a 3.941
_cell_length_b 3.941
_cell_length_c 8.909
_cell_angle_alpha 90.00
_cell_angle_beta 90.00
_cell_angle_gamma 121.53
_space_group_name_H-M_alt 'P 1'
_space_group_IT_number 1
loop_
_space_group_symop_operation_xyz
'x,y,z'
loop_
_atom_site_label
_atom_site_type_symbol
_atom_site_fract_x
_atom_site_fract_y
_atom_site_fract_z
Cl1 Cl 0.000 0.000 0.938
Cl2 Cl 0.500 0.500 0.307
Hg1 Hg 0.000 0.000 0.506
Cd1 Cd 0.500 0.500 0.750
```